No. 1
DFT (PBE-GGA) results for crystalline CaLaSn at its relaxed geometry.

The structure in CIF format:
```
data_CaLaSn
_space_group_name_H-M_alt 'C 1 2/m 1'
_space_group_IT_number 12
_cell_length_a 11.887
_cell_length_b 5.060
_cell_length_c 7.646
_cell_angle_alpha 90.00
_cell_angle_beta 118.83
_cell_angle_gamma 90.00
loop_
_space_group_symop_operation_xyz
'x,y,z'
'-x,-y,-z'
'-x,y,-z'
'x,-y,z'
'x+1/2,y+1/2,z'
'-x+1/2,-y+1/2,-z'
'-x+1/2,y+1/2,-z'
'x+1/2,-y+1/2,z'
loop_
_atom_site_label
_atom_site_type_symbol
_atom_site_fract_x
_atom_site_fract_y
_atom_site_fract_z
_atom_site_occupancy
Ca1 Ca 0.184 0.000 0.103 1
La1 La 0.059 0.500 0.325 1
Sn1 Sn 0.146 0.000 0.651 1
```

Computed properties:
- total moment (μB/f.u.) = 0.0


No. 2
DFT (PBE-GGA) results for crystalline CaLaSn at its relaxed geometry.

The structure in CIF format:
```
data_CaLaSn
_space_group_name_H-M_alt 'C 1 2/m 1'
_space_group_IT_number 12
_cell_length_a 9.017
_cell_length_b 5.190
_cell_length_c 9.593
_cell_angle_alpha 90.00
_cell_angle_beta 111.57
_cell_angle_gamma 90.00
loop_
_space_group_symop_operation_xyz
'x,y,z'
'-x,-y,-z'
'-x,y,-z'
'x,-y,z'
'x+1/2,y+1/2,z'
'-x+1/2,-y+1/2,-z'
'-x+1/2,y+1/2,-z'
'x+1/2,-y+1/2,z'
loop_
_atom_site_label
_atom_site_type_symbol
_atom_site_fract_x
_atom_site_fract_y
_atom_site_fract_z
_atom_site_occupancy
Ca1 Ca 0.130 0.000 0.403 1
La1 La 0.189 0.500 0.127 1
Sn1 Sn 0.085 0.500 0.724 1
```

Computed properties:
- total moment (μB/f.u.) = 0.0


No. 3
DFT (PBE-GGA) results for crystalline CaLa3Sn2 at its relaxed geometry.

The structure in CIF format:
```
data_CaLa3Sn2
_space_group_name_H-M_alt 'I b a m'
_space_group_IT_number 72
_space_group_name_Hall '-I 2 2c'
_cell_length_a 6.802
_cell_length_b 17.807
_cell_length_c 6.692
_cell_angle_alpha 90.00
_cell_angle_beta 90.00
_cell_angle_gamma 90.00
loop_
_atom_site_label
_atom_site_type_symbol
_atom_site_fract_x
_atom_site_fract_y
_atom_site_fract_z
_atom_site_occupancy
Ca1 Ca 0.000 0.000 0.250 1
La1 La 0.000 0.500 0.250 1
La2 La 0.248 0.320 0.000 1
Sn1 Sn 0.247 0.133 0.000 1
```

Computed properties:
- E above lowest polymorph (eV/atom) = 0.0000
- total moment (μB/f.u.) = 2.8


Across the entries above, ΔE_f takes the values -537, -427, -590 meV/atom, respectively.
Across the entries above, volume takes the values 101, 104, 203 Å³/f.u., respectively.